PBE NpBIr2, relaxed; magnetization = 2.760 Bohr magnetons per cell; N(E_F) = 6.6 states/eV/f.u.; DFT formation energy = -0.07 eV/atom; final energy = -37.60 eV/cell; space group = R-3m, No. 166
1.0
1.898 1.096 5.104
-1.898 1.096 5.104
0.000 -2.192 5.104
Np B Ir
1 1 2
direct
0.000 0.000 0.000
0.500 0.500 0.500
0.218 0.218 0.218
0.782 0.782 0.782

PBE NpB4Ir6, relaxed; magnetization = 2.803 Bohr magnetons per cell; N(E_F) = 12.3 states/eV/f.u.; DFT formation energy = -0.15 eV/atom; final energy = -94.43 eV/cell; space group = P1, No. 1
1.0
5.499 0.000 0.000
2.641 4.988 0.000
1.935 1.792 5.238
Np B Ir
1 4 6
direct
0.000 0.000 0.000
0.097 0.600 0.800
0.380 0.431 0.199
0.588 0.769 0.373
0.722 0.341 0.564
0.029 0.530 0.497
0.105 0.990 0.481
0.457 0.093 0.019
0.499 0.604 0.801
0.550 0.103 0.508
0.793 0.507 0.138

PBE NpBIr3, relaxed; magnetization = 5.225 Bohr magnetons per cell; N(E_F) = 9.1 states/eV/f.u.; DFT formation energy = -0.31 eV/atom; final energy = -95.49 eV/cell; space group = P2_1/m, No. 11
1.0
5.135 0.000 0.000
0.000 5.594 0.000
-0.635 0.000 5.262
Np B Ir
2 2 6
direct
0.138 0.250 0.194
0.862 0.750 0.806
0.365 0.750 0.034
0.635 0.250 0.966
0.113 0.750 0.328
0.368 0.004 0.730
0.368 0.496 0.730
0.632 0.504 0.270
0.632 0.996 0.270
0.887 0.250 0.672

PBE NpB3Ir5, relaxed; magnetization = 6.429 Bohr magnetons per cell; N(E_F) = 8.5 states/eV/f.u.; DFT formation energy = -0.10 eV/atom; final energy = -156.42 eV/cell; space group = Cmcm, No. 63
1.0
1.415 -5.920 0.000
1.415 5.920 0.000
0.000 0.000 14.353
Np B Ir
2 6 10
direct
0.177 0.823 0.750
0.823 0.177 0.250
0.127 0.873 0.250
0.388 0.612 0.080
0.388 0.612 0.420
0.612 0.388 0.580
0.612 0.388 0.920
0.873 0.127 0.750
0.000 0.000 0.000
0.000 0.000 0.500
0.219 0.781 0.080
0.219 0.781 0.420
0.462 0.538 0.659
0.462 0.538 0.841
0.538 0.462 0.159
0.538 0.462 0.341
0.781 0.219 0.580
0.781 0.219 0.920

PBE NpBIr2, relaxed; magnetization = 3.484 Bohr magnetons per cell; N(E_F) = 7.7 states/eV/f.u.; DFT formation energy = 0.34 eV/atom; final energy = -35.98 eV/cell; space group = P6/mmm, No. 191
1.0
4.209 0.000 0.000
-2.105 3.645 0.000
0.000 0.000 4.698
Np B Ir
1 1 2
direct
0.000 0.000 0.000
0.000 0.000 0.500
0.333 0.667 0.500
0.667 0.333 0.500

PBE Np2B10Ir, relaxed; magnetization = 14.879 Bohr magnetons per cell; N(E_F) = 18.5 states/eV/f.u.; DFT formation energy = -0.35 eV/atom; final energy = -212.26 eV/cell; space group = Pbam, No. 55
1.0
5.678 0.000 0.000
0.000 11.318 0.000
0.000 0.000 4.157
Np B Ir
4 20 2
direct
0.195 0.139 0.000
0.305 0.639 0.000
0.695 0.361 0.000
0.805 0.861 0.000
0.052 0.307 0.500
0.118 0.958 0.500
0.138 0.803 0.500
0.218 0.381 0.197
0.218 0.381 0.803
0.282 0.881 0.197
0.282 0.881 0.803
0.362 0.303 0.500
0.382 0.458 0.500
0.448 0.807 0.500
0.552 0.193 0.500
0.618 0.542 0.500
0.638 0.697 0.500
0.718 0.119 0.197
0.718 0.119 0.803
0.782 0.619 0.197
0.782 0.619 0.803
0.862 0.197 0.500
0.882 0.042 0.500
0.948 0.693 0.500
0.000 0.500 0.500
0.500 0.000 0.500

PBE NpB3Ir6, relaxed; magnetization = 2.735 Bohr magnetons per cell; N(E_F) = 14.4 states/eV/f.u.; DFT formation energy = -0.28 eV/atom; final energy = -88.99 eV/cell; space group = P1, No. 1
1.0
5.416 0.000 0.000
2.690 4.740 0.000
2.037 1.840 5.304
Np B Ir
1 3 6
direct
0.000 0.000 0.000
0.282 0.368 0.974
0.315 0.089 0.530
0.753 0.640 0.970
0.075 0.589 0.647
0.442 0.910 0.231
0.475 0.406 0.231
0.536 0.620 0.715
0.593 0.100 0.709
0.944 0.385 0.345

PBE NpB4Ir, relaxed; magnetization = 12.989 Bohr magnetons per cell; N(E_F) = 4.4 states/eV/f.u.; DFT formation energy = -0.42 eV/atom; final energy = -204.20 eV/cell; space group = Pbam, No. 55
1.0
6.034 0.000 0.000
0.000 11.701 0.000
0.000 0.000 3.499
Np B Ir
4 16 4
direct
0.129 0.150 0.000
0.371 0.650 0.000
0.629 0.350 0.000
0.871 0.850 0.000
0.028 0.692 0.500
0.116 0.547 0.500
0.133 0.968 0.500
0.210 0.811 0.500
0.290 0.311 0.500
0.367 0.468 0.500
0.384 0.047 0.500
0.472 0.192 0.500
0.528 0.808 0.500
0.616 0.953 0.500
0.633 0.532 0.500
0.710 0.689 0.500
0.790 0.189 0.500
0.867 0.032 0.500
0.884 0.453 0.500
0.972 0.308 0.500
0.141 0.406 0.000
0.359 0.906 0.000
0.641 0.094 0.000
0.859 0.594 0.000

PBE NpBIr, relaxed; magnetization = 3.986 Bohr magnetons per cell; N(E_F) = 7.3 states/eV/f.u.; DFT formation energy = -0.21 eV/atom; final energy = -29.10 eV/cell; space group = P-6m2, No. 187
1.0
3.762 0.000 0.000
-1.881 3.258 0.000
0.000 0.000 4.012
Np B Ir
1 1 1
direct
0.000 0.000 0.000
0.333 0.667 0.500
0.667 0.333 0.500

PBE NpB2Ir5, relaxed; magnetization = 2.475 Bohr magnetons per cell; N(E_F) = 11.2 states/eV/f.u.; DFT formation energy = -0.28 eV/atom; final energy = -72.87 eV/cell; space group = Immm, No. 71
1.0
-1.945 3.241 4.483
1.945 -3.241 4.483
1.945 3.241 -4.483
Np B Ir
1 2 5
direct
0.000 0.000 0.000
0.257 0.757 0.500
0.743 0.243 0.500
0.140 0.351 0.789
0.438 0.649 0.789
0.500 0.000 0.500
0.562 0.351 0.211
0.860 0.649 0.211

PBE NpBIr6, relaxed; magnetization = 3.152 Bohr magnetons per cell; N(E_F) = 15.8 states/eV/f.u.; DFT formation energy = -0.01 eV/atom; final energy = -72.87 eV/cell; space group = R-3m, No. 166
1.0
2.806 1.620 4.779
-2.806 1.620 4.779
0.000 -3.240 4.779
Np B Ir
1 1 6
direct
0.000 0.000 0.000
0.500 0.500 0.500
0.064 0.599 0.599
0.401 0.401 0.936
0.401 0.936 0.401
0.599 0.064 0.599
0.599 0.599 0.064
0.936 0.401 0.401

PBE Np2B6Ir9, relaxed; magnetization = 6.653 Bohr magnetons per cell; N(E_F) = 18.8 states/eV/f.u.; DFT formation energy = -0.38 eV/atom; final energy = -152.18 eV/cell; space group = P6/mmm, No. 191
1.0
5.654 0.000 0.000
-2.827 4.896 0.000
0.000 0.000 8.656
Np B Ir
2 6 9
direct
0.000 0.000 0.187
0.000 0.000 0.813
0.333 0.667 0.168
0.333 0.667 0.500
0.333 0.667 0.832
0.667 0.333 0.168
0.667 0.333 0.500
0.667 0.333 0.832
0.000 0.500 0.000
0.000 0.500 0.336
0.000 0.500 0.664
0.500 0.000 0.000
0.500 0.000 0.336
0.500 0.000 0.664
0.500 0.500 0.000
0.500 0.500 0.336
0.500 0.500 0.664

PBE NpBIr, relaxed; magnetization = 3.192 Bohr magnetons per cell; N(E_F) = 3.1 states/eV/f.u.; DFT formation energy = -0.10 eV/atom; final energy = -28.78 eV/cell; space group = I4mm, No. 107
1.0
-1.403 1.403 5.480
1.403 -1.403 5.480
1.403 1.403 -5.480
Np B Ir
1 1 1
direct
0.000 0.000 0.000
0.687 0.687 0.000
0.274 0.274 0.000

PBE NpBIr3, relaxed; magnetization = 5.444 Bohr magnetons per cell; N(E_F) = 6.9 states/eV/f.u.; DFT formation energy = -0.22 eV/atom; final energy = -94.65 eV/cell; space group = P2_1/m, No. 11
1.0
4.729 0.000 0.000
0.000 5.616 0.000
-0.731 0.000 5.647
Np B Ir
2 2 6
direct
0.015 0.250 0.440
0.985 0.750 0.560
0.353 0.750 0.969
0.647 0.250 0.031
0.061 0.250 0.938
0.469 0.502 0.251
0.469 0.998 0.251
0.531 0.002 0.749
0.531 0.498 0.749
0.939 0.750 0.062

PBE NpBIr2, relaxed; magnetization = 5.094 Bohr magnetons per cell; N(E_F) = 8.1 states/eV/f.u.; DFT formation energy = -0.20 eV/atom; final energy = -76.25 eV/cell; space group = Cmcm, No. 63
1.0
1.870 -4.843 0.000
1.870 4.843 0.000
0.000 0.000 6.629
Np B Ir
2 2 4
direct
0.062 0.938 0.750
0.938 0.062 0.250
0.224 0.776 0.250
0.776 0.224 0.750
0.351 0.649 0.544
0.351 0.649 0.956
0.649 0.351 0.044
0.649 0.351 0.456

PBE NpB4Ir2Os, relaxed; magnetization = 3.568 Bohr magnetons per cell; N(E_F) = 8.1 states/eV/f.u.; DFT formation energy = 0.04 eV/atom; final energy = -68.26 eV/cell; space group = R-3m, No. 166
1.0
1.830 1.057 8.287
-1.830 1.057 8.287
0.000 -2.113 8.287
Np B Ir Os
1 4 2 1
direct
0.000 0.000 0.000
0.127 0.127 0.127
0.402 0.402 0.402
0.598 0.598 0.598
0.873 0.873 0.873
0.240 0.240 0.240
0.760 0.760 0.760
0.500 0.500 0.500

PBE Np2B2Ir5Pd, relaxed; magnetization = 9.570 Bohr magnetons per cell; N(E_F) = 18.9 states/eV/f.u.; DFT formation energy = -0.31 eV/atom; final energy = -183.74 eV/cell; space group = P4/mbm, No. 127
1.0
9.218 0.000 0.000
0.000 9.218 0.000
0.000 0.000 3.498
Np B Ir Pd
4 4 10 2
direct
0.179 0.321 0.000
0.321 0.821 0.000
0.679 0.179 0.000
0.821 0.679 0.000
0.121 0.621 0.000
0.379 0.121 0.000
0.621 0.879 0.000
0.879 0.379 0.000
0.000 0.500 0.500
0.073 0.783 0.500
0.217 0.073 0.500
0.283 0.573 0.500
0.427 0.283 0.500
0.500 0.000 0.500
0.573 0.717 0.500
0.717 0.427 0.500
0.783 0.927 0.500
0.927 0.217 0.500
0.000 0.000 0.000
0.500 0.500 0.000

PBE Np2B2Ir5Pt, relaxed; magnetization = 9.590 Bohr magnetons per cell; N(E_F) = 18.9 states/eV/f.u.; DFT formation energy = -0.35 eV/atom; final energy = -186.16 eV/cell; space group = P4/mbm, No. 127
1.0
9.169 0.000 0.000
0.000 9.169 0.000
0.000 0.000 3.542
Np B Ir Pt
4 4 10 2
direct
0.179 0.321 0.000
0.321 0.821 0.000
0.679 0.179 0.000
0.821 0.679 0.000
0.120 0.620 0.000
0.380 0.120 0.000
0.620 0.880 0.000
0.880 0.380 0.000
0.000 0.500 0.500
0.073 0.783 0.500
0.217 0.073 0.500
0.283 0.573 0.500
0.427 0.283 0.500
0.500 0.000 0.500
0.573 0.717 0.500
0.717 0.427 0.500
0.783 0.927 0.500
0.927 0.217 0.500
0.000 0.000 0.000
0.500 0.500 0.000

PBE Np2ScB2Ir5, relaxed; magnetization = 13.472 Bohr magnetons per cell; N(E_F) = 18.2 states/eV/f.u.; DFT formation energy = -0.46 eV/atom; final energy = -188.99 eV/cell; space group = P4/mbm, No. 127
1.0
9.759 0.000 0.000
0.000 9.759 0.000
0.000 0.000 3.259
Np Sc B Ir
4 2 4 10
direct
0.180 0.320 0.000
0.320 0.820 0.000
0.680 0.180 0.000
0.820 0.680 0.000
0.000 0.000 0.000
0.500 0.500 0.000
0.118 0.618 0.000
0.382 0.118 0.000
0.618 0.882 0.000
0.882 0.382 0.000
0.000 0.500 0.500
0.069 0.773 0.500
0.227 0.069 0.500
0.273 0.569 0.500
0.431 0.273 0.500
0.500 0.000 0.500
0.569 0.727 0.500
0.727 0.431 0.500
0.773 0.931 0.500
0.931 0.227 0.500

PBE B3IrO, relaxed; ΔE_f (raw) = 5.65 eV per formula unit; magnetization = 1.785 Bohr magnetons per cell; N(E_F) = 6.3 states/eV/f.u.; final energy = -28.20 eV/cell; space group = Pm-3m, No. 221
1.0
4.073 0.000 0.000
0.000 4.073 0.000
0.000 0.000 4.073
B Ir O
3 1 1
direct
0.000 0.000 0.500
0.000 0.500 0.000
0.500 0.000 0.000
0.000 0.000 0.000
0.500 0.500 0.500